Crystalline BaMgCd2Cu at its relaxed geometry. Source: the Alexandria database, functional PBE.

Cell lengths 5.189, 5.189, 5.088 Å; angles 90.00, 90.00, 90.00 degrees
Element x y z (fractional)
1 Mg 0.000 0.000 0.500
2 Ba 0.500 0.500 0.500
3 Cu 0.000 0.000 0.000
4 Cd 0.000 0.500 0.000
5 Cd 0.500 0.000 0.000

Calculated values
Space group: No. 123
Calculated formation energy in eV per atom: -0.10
Fermi-level density of states in states/eV/f.u.: 3.1
Uncorrected energy in eV per atom: -1.992
Crystal system: tetragonal
Magnetization in μB/atom: 0.00